Record 1
Below is La2ZnBi2 after structural relaxation, with properties calculated at the GGA-PBE level.

The value obtained for the uncorrected energy is -4.381 eV/atom. The calculation puts the density of states at the Fermi level at 0.271 states/eV/atom.

a = 8.4782 Å, b = 8.4782 Å, c = 4.4506 Å
α = 90.00°, β = 90.00°, γ = 90.00°
Closest atoms and distances in Å follow each position.
Space group P4/mbm (No. 127)
Asymmetric unit:
La1 0.1566 0.3434 0.0000 (multiplicity 4)  6 Bi 3.19-3.44
Zn1 0.0000 0.0000 0.5000 (multiplicity 2)  4 Bi 3.22
Bi1 0.1529 0.6529 0.5000 (multiplicity 4)  6 La 3.19-3.44, 2 Zn 3.22

=====

Record 2
Below is CaCuAu after structural relaxation, with properties calculated at the GGA-PBE level.

The value obtained for the uncorrected energy is -3.108 eV/atom. The calculation puts the density of states at the Fermi level at 0.274 states/eV/atom.

a = 6.7502 Å, b = 6.7502 Å, c = 6.7502 Å
α = 90.00°, β = 90.00°, γ = 90.00°
Closest atoms and distances in Å follow each position.
Space group F-43m (No. 216)
Asymmetric unit:
Ca1 0.0000 0.0000 0.0000 (multiplicity 4)  4 Cu 2.92, 4 Au 2.92
Cu1 0.2500 0.2500 0.7500 (multiplicity 4)  4 Ca 2.92
Au1 0.2500 0.2500 0.2500 (multiplicity 4)  4 Ca 2.92

=====

Record 3
Below is AcPm2Nd5Tm after structural relaxation, with properties calculated at the GGA-PBE level.

The value obtained for the uncorrected energy is -4.395 eV/atom. The calculation puts the density of states at the Fermi level at 1.360 states/eV/atom.

a = 9.0547 Å, b = 9.0547 Å, c = 15.8138 Å
α = 90.00°, β = 90.00°, γ = 90.00°
Closest atoms and distances in Å follow each position.
Space group I4/mcm (No. 140)
Asymmetric unit:
Ac1 0.0000 0.0000 0.2500 (multiplicity 4)  10 Nd 3.74-3.95
Pm1 0.1159 0.3841 0.0000 (multiplicity 8)  1 Pm 2.97, 2 Nd 3.12
Nd1 0.0000 0.0000 0.0000 (multiplicity 4)  4 Pm 3.63, 8 Nd 3.88, 2 Ac 3.95
Nd2 0.2046 0.2954 0.3667 (multiplicity 16)  1 Pm 3.12, 1 Tm 3.20
Tm1 0.0000 0.5000 0.2500 (multiplicity 4)  4 Nd 3.20

=====

Record 4
Below is ScReRhF2 after structural relaxation, with properties calculated at the GGA-PBE level.

The value obtained for the uncorrected energy is -7.065 eV/atom. The uncorrected formation energy comes out at -1.090 eV per atom. The calculation puts the density of states at the Fermi level at 0.796 states/eV/atom.

a = 3.7759 Å, b = 3.7759 Å, c = 6.2085 Å
α = 90.00°, β = 90.00°, γ = 90.00°
Closest atoms and distances in Å follow each position.
Space group P4/mmm (No. 123)
Asymmetric unit:
Sc1 0.0000 0.0000 0.0000 (multiplicity 1)  4 F 1.89
Re1 0.0000 0.0000 0.5000 (multiplicity 1)  4 Rh 2.67
Rh1 0.5000 0.5000 0.5000 (multiplicity 1)  4 Re 2.67
F1 0.0000 0.5000 0.0000 (multiplicity 2)  2 Sc 1.89

=====

Record 5
Below is LiEuMgAu after structural relaxation, with properties calculated at the GGA-PBE level.

The value obtained for the uncorrected energy is -4.653 eV/atom. The calculation puts the density of states at the Fermi level at 1.654 states/eV/atom.

a = 7.1567 Å, b = 7.1567 Å, c = 7.1567 Å
α = 90.00°, β = 90.00°, γ = 90.00°
Closest atoms and distances in Å follow each position.
Space group F-43m (No. 216)
Asymmetric unit:
Li1 0.0000 0.0000 0.0000 (multiplicity 4)  4 Eu 3.10, 4 Mg 3.10
Eu1 0.2500 0.2500 0.2500 (multiplicity 4)  4 Li 3.10, 4 Au 3.10
Mg1 0.2500 0.2500 0.7500 (multiplicity 4)  4 Li 3.10, 4 Au 3.10
Au1 0.0000 0.0000 0.5000 (multiplicity 4)  4 Mg 3.10, 4 Eu 3.10

=====

Record 6
Below is MgP2ICl after structural relaxation, with properties calculated at the GGA-PBE level.

The value obtained for the uncorrected energy is -2.258 eV/atom. The uncorrected formation energy comes out at 0.904 eV per atom. The calculation puts the density of states at the Fermi level at 0.971 states/eV/atom.

a = 5.1986 Å, b = 5.1986 Å, c = 5.3256 Å
α = 90.00°, β = 90.00°, γ = 90.00°
Closest atoms and distances in Å follow each position.
Space group P4/mmm (No. 123)
Asymmetric unit:
Mg1 0.0000 0.0000 0.0000 (multiplicity 1)  4 Cl 3.68, 8 P 3.72
P1 0.0000 0.5000 0.5000 (multiplicity 2)  2 I 2.60
I1 0.5000 0.5000 0.5000 (multiplicity 1)  4 P 2.60, 2 Cl 2.66
Cl1 0.5000 0.5000 0.0000 (multiplicity 1)  2 I 2.66

=====

- Which of these has the lowest density of states at the Fermi level?
  La2ZnBi2